Record 1
Ta2TlHg: optimized geometry, PBE.

Unit cell a=4.1874 b=4.1874 c=9.0925 alpha=90.00 beta=90.00 gamma=90.00
Space group I-4m2 (No. 119)
Unique sites:
Ta  0.0000  0.0000  0.0000 x2
Ta  0.0000  0.5000  0.2500 x2
Tl  0.0000  0.5000  0.7500 x2
Hg  0.0000  0.0000  0.5000 x2

Values from the calculation:
- ΔH_f (0 K) (eV/atom) = 0.584
- size of the total moment (μB/atom) = 0.000

---

Record 2
CsTbGaS4: optimized geometry, PBE.

Unit cell a=6.9350 b=5.7236 c=9.9022 alpha=90.00 beta=104.53 gamma=90.00
Space group P2_1/m (No. 11)
Unique sites:
Cs  0.2441  0.2500  0.0392 x2
Tb  0.2528  0.2500  0.5545 x2
Ga  0.2589  0.7500  0.3372 x2
S  0.0014  0.5166  0.6909 x4
S  0.4162  0.7500  0.5670 x2
S  0.4596  0.7500  0.1945 x2

Values from the calculation:
- raw formation energy (eV/atom) = -1.24
- size of the total moment (μB/atom) = 0.018